An optimized crystal structure of ScBe2Au2. Source: OQMD, functional PBE.

Unit cell a=6.2547 b=6.2547 c=6.2547 alpha=145.50 beta=145.50 gamma=49.59
With the nearest neighbours (Å) after each atom.
Atoms (fractional coordinates):
1 Au 0.3778 0.3778 0.0000  4 Be 2.36
2 Au 0.6222 0.6222 0.0000  4 Be 2.36
3 Be 0.7500 0.2500 0.5000  4 Au 2.36, 4 Be 2.62
4 Be 0.2500 0.7500 0.5000  4 Au 2.36, 4 Be 2.62
5 Sc 0.0000 0.0000 0.0000  8 Au 2.97

Properties
V ... 15.63 Å³ per atom
E ... -22.1 eV per cell